(1)
# GGA-PBE LaCe5P6, optimized geometry
data_LaCe5P6
_chemical_formula_sum 'La2 Ce10 P12'
_symmetry_space_group_name_H-M 'C 1 2/m 1'
_symmetry_Int_Tables_number 12
_cell_length_a 7.142
_cell_length_b 12.369
_cell_length_c 7.140
_cell_angle_alpha 90.00
_cell_angle_beta 109.48
_cell_angle_gamma 90.00
loop_
_symmetry_equiv_pos_as_xyz
'x,y,z'
'-x,-y,-z'
'-x,y,-z'
'x,-y,z'
'x+1/2,y+1/2,z'
'-x+1/2,-y+1/2,-z'
'-x+1/2,y+1/2,-z'
'x+1/2,-y+1/2,z'
loop_
_atom_site_label
_atom_site_fract_x
_atom_site_fract_y
_atom_site_fract_z
La1 0.000 0.000 0.000
Ce1 0.000 0.165 0.500
Ce2 0.000 0.333 0.000
Ce3 0.000 0.500 0.500
P1 0.244 0.500 0.254
P2 0.245 0.330 0.746
# ΔH_f (0 K) ... -1.5037 eV/atom
# Uncorrected energy ... -7.0917 eV per atom
# Magnetization ... 3.1 μB/f.u.


(2)
# GGA-PBE La2Ce3P4, optimized geometry
data_La2Ce3P4
_chemical_formula_sum 'La4 Ce6 P8'
_symmetry_space_group_name_H-M 'C 1 2/m 1'
_symmetry_Int_Tables_number 12
_cell_length_a 13.667
_cell_length_b 4.115
_cell_length_c 10.152
_cell_angle_alpha 90.00
_cell_angle_beta 119.09
_cell_angle_gamma 90.00
loop_
_symmetry_equiv_pos_as_xyz
'x,y,z'
'-x,-y,-z'
'-x,y,-z'
'x,-y,z'
'x+1/2,y+1/2,z'
'-x+1/2,-y+1/2,-z'
'-x+1/2,y+1/2,-z'
'x+1/2,-y+1/2,z'
loop_
_atom_site_label
_atom_site_fract_x
_atom_site_fract_y
_atom_site_fract_z
La1 0.103 0.000 0.394
Ce1 0.000 0.500 0.000
Ce2 0.206 0.500 0.811
P1 0.101 0.000 0.902
P2 0.202 0.500 0.296
# ΔH_f (0 K) ... -1.3199 eV/atom
# Uncorrected energy ... -6.7972 eV per atom
# Magnetization ... 3.4 μB/f.u.


(3)
# GGA-PBE La3CePa2P6, optimized geometry
data_La3CePa2P6
_chemical_formula_sum 'La6 Ce2 Pa4 P12'
_symmetry_space_group_name_H-M 'C 1 2/m 1'
_symmetry_Int_Tables_number 12
_cell_length_a 7.134
_cell_length_b 12.354
_cell_length_c 7.186
_cell_angle_alpha 90.00
_cell_angle_beta 109.32
_cell_angle_gamma 90.00
loop_
_symmetry_equiv_pos_as_xyz
'x,y,z'
'-x,-y,-z'
'-x,y,-z'
'x,-y,z'
'x+1/2,y+1/2,z'
'-x+1/2,-y+1/2,-z'
'-x+1/2,y+1/2,-z'
'x+1/2,-y+1/2,z'
loop_
_atom_site_label
_atom_site_fract_x
_atom_site_fract_y
_atom_site_fract_z
La1 0.000 0.000 0.000
La2 0.000 0.335 0.000
Ce1 0.000 0.500 0.500
Pa1 0.000 0.167 0.500
P1 0.235 0.000 0.729
P2 0.247 0.329 0.729
# ΔH_f (0 K) ... -1.4736 eV/atom
# Uncorrected energy ... -7.4875 eV per atom
# Magnetization ... 0.6 μB/f.u.


(4)
# GGA-PBE LaCe2PaP4, optimized geometry
data_LaCe2PaP4
_chemical_formula_sum 'La2 Ce4 Pa2 P8'
_symmetry_space_group_name_H-M 'I -4 m 2'
_symmetry_Int_Tables_number 119
_symmetry_space_group_name_Hall 'I -4 -2'
_cell_length_a 5.797
_cell_length_b 5.797
_cell_length_c 11.604
_cell_angle_alpha 90.00
_cell_angle_beta 90.00
_cell_angle_gamma 90.00
loop_
_atom_site_label
_atom_site_fract_x
_atom_site_fract_y
_atom_site_fract_z
La1 0.000 0.000 0.000
Ce1 0.000 0.000 0.500
Ce2 0.000 0.500 0.250
Pa1 0.000 0.500 0.750
P1 0.000 0.000 0.254
P2 0.000 0.500 0.508
# ΔH_f (0 K) ... -1.4461 eV/atom
# Uncorrected energy ... -7.4374 eV per atom
# Magnetization ... 1.6 μB/f.u.


(5)
# GGA-PBE LaCe4Pa3P8, optimized geometry
data_LaCe4Pa3P8
_chemical_formula_sum 'La3 Ce12 Pa9 P24'
_symmetry_space_group_name_H-M 'R -3 m'
_symmetry_Int_Tables_number 166
_symmetry_space_group_name_Hall '-R 3 2"'
_cell_length_a 8.1166
_cell_length_b 8.1166
_cell_length_c 19.8800
_cell_angle_alpha 90.00
_cell_angle_beta 90.00
_cell_angle_gamma 120.00
loop_
_atom_site_label
_atom_site_fract_x
_atom_site_fract_y
_atom_site_fract_z
La1 0.0000 0.0000 0.0000
Ce1 0.0000 0.0000 0.5000
Ce2 0.0000 0.5000 0.5000
Pa1 0.0000 0.5000 0.0000
P1 0.0000 0.0000 0.2534
P2 0.0110 0.5055 0.2515
# ΔH_f (0 K) ... -1.4316 eV/atom
# Uncorrected energy ... -7.7084 eV per atom
# Magnetization ... 1.5 μB/f.u.


(6)
# GGA-PBE La4Ce3PaP8, optimized geometry
data_La4Ce3PaP8
_chemical_formula_sum 'La12 Ce9 Pa3 P24'
_symmetry_space_group_name_H-M 'R -3 m'
_symmetry_Int_Tables_number 166
_symmetry_space_group_name_Hall '-R 3 2"'
_cell_length_a 8.3091
_cell_length_b 8.3091
_cell_length_c 20.4483
_cell_angle_alpha 90.00
_cell_angle_beta 90.00
_cell_angle_gamma 120.00
loop_
_atom_site_label
_atom_site_fract_x
_atom_site_fract_y
_atom_site_fract_z
La1 0.0000 0.0000 0.0000
La2 0.0000 0.5000 0.0000
Ce1 0.0000 0.5000 0.5000
Pa1 0.0000 0.0000 0.5000
P1 0.0000 0.0000 0.2456
P2 0.0075 0.5038 0.2442
# ΔH_f (0 K) ... -1.5137 eV/atom
# Uncorrected energy ... -7.1566 eV per atom
# Magnetization ... 1.9 μB/f.u.


(7)
# GGA-PBE LaCe2Pm3P6, optimized geometry
data_LaCe2Pm3P6
_chemical_formula_sum 'La2 Ce4 Pm6 P12'
_symmetry_space_group_name_H-M 'C 1 2/m 1'
_symmetry_Int_Tables_number 12
_cell_length_a 7.172
_cell_length_b 12.422
_cell_length_c 7.165
_cell_angle_alpha 90.00
_cell_angle_beta 109.50
_cell_angle_gamma 90.00
loop_
_symmetry_equiv_pos_as_xyz
'x,y,z'
'-x,-y,-z'
'-x,y,-z'
'x,-y,z'
'x+1/2,y+1/2,z'
'-x+1/2,-y+1/2,-z'
'-x+1/2,y+1/2,-z'
'x+1/2,-y+1/2,z'
loop_
_atom_site_label
_atom_site_fract_x
_atom_site_fract_y
_atom_site_fract_z
La1 0.000 0.000 0.000
Ce1 0.000 0.333 0.000
Pm1 0.000 0.165 0.500
Pm2 0.000 0.500 0.500
P1 0.242 0.500 0.248
P2 0.247 0.330 0.752
# ΔH_f (0 K) ... -1.5488 eV/atom
# Uncorrected energy ... -6.8410 eV per atom
# Magnetization ... 0.9 μB/f.u.


(8)
# GGA-PBE La2Ce3PmP6, optimized geometry
data_La2Ce3PmP6
_chemical_formula_sum 'La4 Ce6 Pm2 P12'
_symmetry_space_group_name_H-M 'C 1 2/m 1'
_symmetry_Int_Tables_number 12
_cell_length_a 7.197
_cell_length_b 12.466
_cell_length_c 7.205
_cell_angle_alpha 90.00
_cell_angle_beta 109.46
_cell_angle_gamma 90.00
loop_
_symmetry_equiv_pos_as_xyz
'x,y,z'
'-x,-y,-z'
'-x,y,-z'
'x,-y,z'
'x+1/2,y+1/2,z'
'-x+1/2,-y+1/2,-z'
'-x+1/2,y+1/2,-z'
'x+1/2,-y+1/2,z'
loop_
_atom_site_label
_atom_site_fract_x
_atom_site_fract_y
_atom_site_fract_z
La1 0.000 0.166 0.000
Ce1 0.000 0.000 0.500
Ce2 0.000 0.333 0.500
Pm1 0.000 0.500 0.000
P1 0.242 0.500 0.739
P2 0.249 0.165 0.740
# ΔH_f (0 K) ... -1.5343 eV/atom
# Uncorrected energy ... -6.9399 eV per atom
# Magnetization ... 1.6 μB/f.u.


Which value of uncorrected energy does entry 2 give? -6.7972 eV per atom


The lowest uncorrected energy belongs to which entry? LaCe4Pa3P8


Which value of ΔH_f (0 K) does entry 4 give? -1.4461 eV/atom